Mn3HgBr9 after structural relaxation. Source: the Alexandria database, functional PBE.

calculated volume	36.4	Å³/atom
energy	-101.20	eV/cell
spin magnetization	1.077	μB/atom

Lattice parameters (Å, degrees): 8.329 11.178 11.752 87.12 69.25 68.13
Site moments in Bohr magnetons follow the coordinates.
Positions (direct):
Mn1 0.225 0.450 0.308  4.29
Mn2 0.922 0.007 0.196  3.73
Mn3 0.875 0.507 0.696  3.73
Mn4 0.017 0.950 0.808  4.29
Mn5 0.597 0.261 0.715  4.29
Mn6 0.427 0.761 0.215  4.29
Hg1 0.048 0.578 0.978  0.04
Hg2 0.396 0.078 0.478  0.04
Br1 0.984 0.516 0.212  0.05
Br2 0.782 0.917 0.376  0.01
Br3 0.867 0.206 0.281  0.04
Br4 0.161 0.708 0.783  0.05
Br5 0.276 0.886 0.416  0.06
Br6 0.422 0.386 0.916  0.06
Br7 0.203 0.814 0.097  0.05
Br8 0.348 0.208 0.283  0.05
Br9 0.288 0.016 0.712  0.05
Br10 0.493 0.521 0.232  0.07
Br11 0.422 0.300 0.577  0.06
Br12 0.886 0.314 0.597  0.05
Br13 0.925 0.417 0.876  0.01
Br14 0.646 0.706 0.781  0.04
Br15 0.025 0.591 0.508  0.03
Br16 0.876 0.091 0.008  0.03
Br17 0.701 0.800 0.077  0.06
Br18 0.754 0.021 0.732  0.07

Fe2CoPt after structural relaxation. Source: the Alexandria database, functional PBE.

calculated volume	12.8	Å³/atom
E_form	-0.11	eV/atom
spin magnetization	1.865	μB/atom

Lattice parameters (Å, degrees): 4.522 4.522 4.522 131.31 131.31 71.31
Site moments in Bohr magnetons follow the coordinates.
Positions (direct):
Fe1 0.500 0.500 0.000  2.77
Fe2 0.000 0.000 0.000  2.77
Pt1 0.250 0.750 0.500  0.34
Co1 0.750 0.250 0.500  1.64

Pu4GeH4 after structural relaxation. Source: the Alexandria database, functional PBE.

calculated volume	15.6	Å³/atom
energy	-155.36	eV/cell
spin magnetization	2.613	μB/atom

Lattice parameters (Å, degrees): 6.117 6.117 7.481 90.00 90.00 90.00
Site moments in Bohr magnetons follow the coordinates.
Positions (direct):
Pu1 0.000 0.265 0.667  5.66
Pu2 0.000 0.735 0.667  5.66
Pu3 0.235 0.500 0.167  5.66
Pu4 0.500 0.235 0.833  5.66
Pu5 0.765 0.500 0.167  5.66
Pu6 0.735 0.000 0.333  5.66
Pu7 0.265 0.000 0.333  5.66
Pu8 0.500 0.765 0.833  5.66
H1 0.000 0.277 0.351  -0.03
H2 0.223 0.500 0.851  -0.03
H3 0.723 0.000 0.649  -0.03
H4 0.000 0.723 0.351  -0.03
H5 0.277 0.000 0.649  -0.03
H6 0.500 0.223 0.149  -0.03
H7 0.500 0.777 0.149  -0.03
H8 0.777 0.500 0.851  -0.03
Ge1 0.000 0.000 0.000  -0.17
Ge2 0.500 0.500 0.500  -0.17

Zr2TiBe after structural relaxation. Source: the Alexandria database, functional PBE.

calculated volume	18.3	Å³/atom
E_form	0.02	eV/atom
spin magnetization	0.000	μB/atom

Lattice parameters (Å, degrees): 3.142 3.142 7.399 90.00 90.00 90.00
Positions (direct):
Zr1 0.000 0.000 0.777
Zr2 0.000 0.000 0.223
Be1 0.500 0.500 0.000
Ti1 0.500 0.500 0.500